Entry from Alexandria via LeMat-Bulk: a relaxed structure of AcCeHo2 (PBE).

Unit cell a=3.6488 b=3.6488 c=11.9319 alpha=81.21 beta=81.21 gamma=60.00
With the nearest neighbours (Å) after each atom.
Atoms (fractional coordinates):
Ce 0.6664 0.6664 0.0007  6 Ho 3.47-3.48, 6 Ce 3.65
Ac 0.5005 0.5005 0.4986  6 Ac 3.65, 6 Ho 3.74-3.77
Ho 0.0784 0.0784 0.7649  3 Ce 3.48, 6 Ho 3.65, 3 Ac 3.77
Ho 0.2547 0.2547 0.2358  3 Ce 3.47, 6 Ho 3.65, 3 Ac 3.74

Output
* distance to the lowest polymorph of the same formula: 0.07 eV per formula unit
* calculated formation energy: 42 kJ/mol of formula units

=====

Entry from Alexandria via LeMat-Bulk: a relaxed structure of AcCeHo2 (PBE).

Unit cell a=3.6809 b=3.6809 c=9.9899 alpha=90.00 beta=90.00 gamma=90.00
With the nearest neighbours (Å) after each atom.
Atoms (fractional coordinates):
Ho 0.0000 0.0000 0.7703  4 Ce 3.47, 4 Ho 3.68, 4 Ac 3.75
Ho 0.0000 0.0000 0.2297  4 Ce 3.47, 4 Ho 3.68, 4 Ac 3.75
Ac 0.5000 0.5000 0.5000  4 Ac 3.68, 8 Ho 3.75
Ce 0.5000 0.5000 0.0000  8 Ho 3.47, 4 Ce 3.68

Output
* distance to the lowest polymorph of the same formula: 0.00 eV per formula unit
* calculated formation energy: 36 kJ/mol of formula units

=====

Entry from Alexandria via LeMat-Bulk: a relaxed structure of AcCe4Ho (PBE).

Unit cell a=6.4200 b=6.4200 c=6.4200 alpha=60.00 beta=60.00 gamma=60.00
With the nearest neighbours (Å) after each atom.
Atoms (fractional coordinates):
Ce 0.6310 0.6310 0.6310  6 Ce 3.05-3.37
Ce 0.6310 0.6310 0.1069  6 Ce 3.05-3.37
Ce 0.1069 0.6310 0.6310  6 Ce 3.05-3.37
Ce 0.6310 0.1069 0.6310  6 Ce 3.05-3.37
Ho 0.0000 0.0000 0.0000  12 Ce 3.75, 4 Ac 3.93
Ac 0.2500 0.2500 0.2500  12 Ce 3.78, 4 Ho 3.93

Output
* calculated formation energy: 114 kJ/mol of formula units